# PBE K3Tl2RhO6, relaxed
data_K3Tl2RhO6
_symmetry_space_group_name_H-M 'P 1'
_symmetry_Int_Tables_number 1
_symmetry_space_group_name_Hall 'P 1'
_cell_length_a 5.977
_cell_length_b 5.977
_cell_length_c 6.338
_cell_angle_alpha 99.13
_cell_angle_beta 99.13
_cell_angle_gamma 119.94
loop_
_atom_site_label
_atom_site_type_symbol
_atom_site_fract_x
_atom_site_fract_y
_atom_site_fract_z
_atom_site_occupancy
K1 K 0.167 0.833 0.500 1
K2 K 0.833 0.167 0.500 1
K3 K 0.500 0.500 0.500 1
Tl1 Tl 0.333 0.667 0.000 1
Tl2 Tl 0.667 0.333 0.000 1
Rh1 Rh 0.000 0.000 0.000 1
O1 O 0.938 0.644 0.814 1
O2 O 0.768 0.768 0.185 1
O3 O 0.062 0.356 0.186 1
O4 O 0.644 0.938 0.814 1
O5 O 0.232 0.232 0.815 1
O6 O 0.356 0.062 0.186 1
# Raw total energy   -57.909 eV for the cell shown
# Mass density   6.5 g cm⁻³
# M_tot   0.000 Bohr magnetons per cell



# PBE ScMnRhAu2, relaxed
data_ScMnRhAu2
_symmetry_space_group_name_H-M 'P 1'
_symmetry_Int_Tables_number 1
_symmetry_space_group_name_Hall 'P 1'
_cell_length_a 4.912
_cell_length_b 4.392
_cell_length_c 4.912
_cell_angle_alpha 90.00
_cell_angle_beta 90.00
_cell_angle_gamma 90.00
loop_
_atom_site_label
_atom_site_type_symbol
_atom_site_fract_x
_atom_site_fract_y
_atom_site_fract_z
_atom_site_occupancy
Sc1 Sc 0.000 0.000 0.000 1
Rh1 Rh 0.500 0.500 0.500 1
Mn1 Mn 0.000 0.500 0.000 1
Au1 Au 0.000 0.000 0.500 1
Au2 Au 0.500 0.000 0.000 1
# Raw total energy   -23.638 eV for the cell shown
# Mass density   9.4 g cm⁻³
# M_tot   2.948 Bohr magnetons per cell



# PBE Ce2Th3Se8, relaxed
data_Ce2Th3Se8
_symmetry_space_group_name_H-M 'P 1'
_symmetry_Int_Tables_number 1
_symmetry_space_group_name_Hall 'P 1'
_cell_length_a 5.071
_cell_length_b 10.087
_cell_length_c 8.751
_cell_angle_alpha 125.20
_cell_angle_beta 90.00
_cell_angle_gamma 90.00
loop_
_atom_site_label
_atom_site_type_symbol
_atom_site_fract_x
_atom_site_fract_y
_atom_site_fract_z
_atom_site_occupancy
Ce1 Ce 0.500 0.266 0.533 1
Ce2 Ce 0.500 0.734 0.467 1
Th1 Th 0.500 0.000 0.000 1
Th2 Th 0.000 0.268 0.000 1
Th3 Th 0.000 0.732 0.000 1
Se1 Se 0.000 0.626 0.253 1
Se2 Se 0.000 0.374 0.747 1
Se3 Se 0.000 0.117 0.235 1
Se4 Se 0.000 0.883 0.765 1
Se5 Se 0.500 0.635 0.755 1
Se6 Se 0.500 0.120 0.755 1
Se7 Se 0.500 0.880 0.245 1
Se8 Se 0.500 0.365 0.245 1
# Raw total energy   -83.995 eV for the cell shown
# Mass density   7.3 g cm⁻³
# M_tot   2.298 Bohr magnetons per cell
# Polymorph energy (0 for the lowest one)   0 kJ/mol of formula units



# PBE PuGeRh, relaxed
data_PuGeRh
_symmetry_space_group_name_H-M 'P 1'
_symmetry_Int_Tables_number 1
_symmetry_space_group_name_Hall 'P 1'
_cell_length_a 3.673
_cell_length_b 3.673
_cell_length_c 5.139
_cell_angle_alpha 110.94
_cell_angle_beta 110.94
_cell_angle_gamma 90.00
loop_
_atom_site_label
_atom_site_type_symbol
_atom_site_fract_x
_atom_site_fract_y
_atom_site_fract_z
_atom_site_occupancy
Ge1 Ge 0.956 0.956 0.912 1
Rh1 Rh 0.262 0.262 0.524 1
Pu1 Pu 0.632 0.632 0.265 1
# Raw total energy   -27.056 eV for the cell shown
# Mass density   11.6 g cm⁻³
# M_tot   4.895 Bohr magnetons per cell